Density functional theory data (PBE) for a geometry-optimized TiBiSbBr2 structure.

a = 5.486 Å, b = 5.662 Å, c = 5.486 Å
α = 90.00°, β = 90.00°, γ = 90.00°
Site moments in Bohr magnetons follow the coordinates.
Positions (direct):
Sb1 0.000 0.000 0.000  -0.02
Br1 0.500 0.000 0.000  0.00
Br2 0.000 0.000 0.500  0.01
Ti1 0.000 0.500 0.000  1.52
Bi1 0.500 0.500 0.500  -0.51

magnetic moment	1.05	Bohr magnetons per cell

Density functional theory data (PBE) for a geometry-optimized ScBiBr2 structure.

a = 5.236 Å, b = 5.236 Å, c = 5.236 Å
α = 60.00°, β = 60.00°, γ = 60.00°
Positions (direct):
Sc1 0.000 0.000 0.000
Br1 0.250 0.250 0.250
Br2 0.750 0.750 0.750
Bi1 0.500 0.500 0.500

magnetic moment	0.00	Bohr magnetons per cell
E above lowest polymorph	0.6461	eV/atom

Density functional theory data (PBE) for a geometry-optimized ScBiBr3 structure.

a = 5.428 Å, b = 5.428 Å, c = 5.428 Å
α = 90.00°, β = 90.00°, γ = 90.00°
Site moments in Bohr magnetons follow the coordinates.
Positions (direct):
Br1 0.000 0.500 0.000  0.02
Br2 0.000 0.000 0.500  0.07
Br3 0.500 0.000 0.000  0.03
Bi1 0.500 0.500 0.500  1.53
Sc1 0.000 0.000 0.000  0.34

magnetic moment	3.00	Bohr magnetons per cell
E above lowest polymorph	0.0000	eV/atom

Density functional theory data (PBE) for a geometry-optimized ScBi2Br structure.

a = 4.582 Å, b = 4.582 Å, c = 12.085 Å
α = 79.07°, β = 79.07°, γ = 90.00°
Positions (direct):
Bi1 0.589 0.125 0.250
Bi2 0.875 0.839 0.750
Bi3 0.161 0.625 0.250
Bi4 0.375 0.411 0.750
Sc1 0.250 0.750 0.500
Sc2 0.500 0.500 0.000
Br1 0.000 0.000 0.000
Br2 0.750 0.250 0.500

magnetic moment	0.00	Bohr magnetons per cell
E above lowest polymorph	0.0000	eV/atom

Density functional theory data (PBE) for a geometry-optimized ScBiBr3 structure.

a = 5.832 Å, b = 5.832 Å, c = 5.832 Å
α = 90.00°, β = 90.00°, γ = 90.00°
Site moments in Bohr magnetons follow the coordinates.
Positions (direct):
Br1 0.500 0.000 0.000  0.01
Br2 0.000 0.500 0.000  0.01
Br3 0.000 0.000 0.500  0.01
Bi1 0.000 0.000 0.000  -0.01
Sc1 0.500 0.500 0.500  1.20

magnetic moment	2.00	Bohr magnetons per cell
E above lowest polymorph	0.7486	eV/atom

Density functional theory data (PBE) for a geometry-optimized ScBi2Br structure.

a = 5.427 Å, b = 5.427 Å, c = 5.427 Å
α = 60.00°, β = 60.00°, γ = 60.00°
Positions (direct):
Br1 0.500 0.500 0.500
Bi1 0.750 0.750 0.750
Bi2 0.250 0.250 0.250
Sc1 0.000 0.000 0.000

magnetic moment	0.00	Bohr magnetons per cell
E above lowest polymorph	0.2538	eV/atom

Raw total energy values (in hartree per atom) by entry order: -0.1235, -0.1352, -0.1376, -0.1539, -0.1101, -0.1446.